{"formula": "ReO3", "functional": "PBE-GGA", "state": "relaxed", "raw_formation_energy_ev_per_fu": -6.02, "e_tot_ev_per_atom": -8.335, "lattice": [[4.912, 0.000, 0.000], [-2.456, 4.254, 0.000], [0.000, 0.000, 4.509]], "species": ["Re", "Re", "O", "O", "O", "O", "O", "O"], "frac_coords": [[0.333, 0.667, 0.250], [0.667, 0.333, 0.750], [0.000, 0.375, 0.000], [0.000, 0.625, 0.500], [0.375, 0.000, 0.000], [0.375, 0.375, 0.500], [0.625, 0.000, 0.500], [0.625, 0.625, 0.000]]}

{"formula": "BeFe2Re", "functional": "PBE-GGA", "state": "relaxed", "ef_kj_per_mol_atoms": -6, "e_tot_ev_per_atom": -8.338, "lattice": [[2.696, 0.000, 0.000], [0.000, 2.696, 0.000], [0.000, 0.000, 5.973]], "species": ["Be", "Fe", "Fe", "Re"], "frac_coords": [[0.000, 0.000, 0.000], [0.500, 0.500, 0.214], [0.500, 0.500, 0.786], [0.000, 0.000, 0.500]]}

{"formula": "Sr2CeErSb4", "functional": "PBE-GGA", "state": "relaxed", "raw_formation_energy_ev_per_fu": -7.73, "e_tot_ev_per_atom": -4.760, "lattice": [[7.865, 0.000, 0.000], [0.000, 4.569, 0.000], [-2.656, 0.000, 7.586]], "species": ["Sr", "Sr", "Ce", "Er", "Sb", "Sb", "Sb", "Sb"], "frac_coords": [[0.000, 0.000, 0.000], [0.500, 0.500, 0.000], [0.000, 0.500, 0.500], [0.500, 0.000, 0.500], [0.243, 0.000, 0.723], [0.262, 0.500, 0.278], [0.738, 0.500, 0.722], [0.757, 0.000, 0.277]]}

{"formula": "TbCo9B4", "functional": "PBE-GGA", "state": "relaxed", "ef_kj_per_mol_atoms": -19, "e_tot_ev_per_atom": -7.009, "lattice": [[-3.647, 3.647, 5.384], [3.647, -3.647, 5.384], [3.647, 3.647, -5.384]], "species": ["Tb", "Tb", "Co", "Co", "Co", "Co", "Co", "Co", "Co", "Co", "Co", "Co", "Co", "Co", "Co", "Co", "Co", "Co", "Co", "Co", "B", "B", "B", "B", "B", "B", "B", "B"], "frac_coords": [[0.247, 0.247, 0.000], [0.753, 0.753, 0.000], [0.000, 0.500, 0.500], [0.048, 0.830, 0.521], [0.097, 0.805, 0.901], [0.170, 0.692, 0.218], [0.195, 0.097, 0.292], [0.307, 0.407, 0.715], [0.308, 0.527, 0.479], [0.407, 0.693, 0.100], [0.473, 0.952, 0.782], [0.500, 0.000, 0.500], [0.527, 0.048, 0.218], [0.593, 0.307, 0.900], [0.692, 0.473, 0.521], [0.693, 0.593, 0.285], [0.805, 0.903, 0.708], [0.830, 0.308, 0.782], [0.903, 0.195, 0.099], [0.952, 0.170, 0.479], [0.039, 0.497, 0.807], [0.232, 0.039, 0.542], [0.310, 0.768, 0.807], [0.497, 0.690, 0.458], [0.503, 0.310, 0.542], [0.690, 0.232, 0.193], [0.768, 0.961, 0.458], [0.961, 0.503, 0.193]]}

{"formula": "Ac2TlHg3", "functional": "PBE-GGA", "state": "relaxed", "e_above_lowest_polymorph_mev_per_atom": 94, "ef_kj_per_mol_atoms": -31, "e_tot_ev_per_atom": -2.240, "lattice": [[-2.235, 2.384, 9.043], [2.235, -2.384, 9.043], [2.235, 2.384, -9.043]], "species": ["Ac", "Ac", "Tl", "Hg", "Hg", "Hg"], "frac_coords": [[0.000, 0.000, 0.000], [0.750, 0.250, 0.500], [0.584, 0.584, 0.000], [0.171, 0.671, 0.500], [0.329, 0.829, 0.500], [0.422, 0.422, 0.000]]}

{"formula": "NpTi2Ga", "functional": "PBE-GGA", "state": "relaxed", "e_above_lowest_polymorph_mev_per_atom": 111, "ef_kj_per_mol_atoms": 5, "e_tot_ev_per_atom": -7.891, "lattice": [[1.447, 0.836, 9.768], [-1.447, 0.836, 9.768], [0.000, -1.671, 9.768]], "species": ["Np", "Ti", "Ti", "Ga"], "frac_coords": [[0.000, 0.000, 0.000], [0.244, 0.244, 0.244], [0.756, 0.756, 0.756], [0.500, 0.500, 0.500]]}

{"formula": "Tm15S22", "functional": "PBE-GGA", "state": "relaxed", "raw_formation_energy_ev_per_fu": -76.17, "e_tot_ev_per_atom": -6.326, "lattice": [[19.308, -1.927, 0.000], [19.308, 1.927, 0.000], [-0.238, 0.000, 11.175]], "species": ["Tm", "Tm", "Tm", "Tm", "Tm", "Tm", "Tm", "Tm", "Tm", "Tm", "Tm", "Tm", "Tm", "Tm", "Tm", "S", "S", "S", "S", "S", "S", "S", "S", "S", "S", "S", "S", "S", "S", "S", "S", "S", "S", "S", "S", "S", "S"], "frac_coords": [[0.000, 0.000, 0.000], [0.070, 0.070, 0.356], [0.106, 0.106, 0.011], [0.201, 0.201, 0.944], [0.267, 0.267, 0.354], [0.342, 0.342, 0.694], [0.368, 0.368, 0.344], [0.460, 0.460, 0.270], [0.540, 0.540, 0.730], [0.632, 0.632, 0.656], [0.658, 0.658, 0.306], [0.733, 0.733, 0.646], [0.799, 0.799, 0.056], [0.894, 0.894, 0.989], [0.930, 0.930, 0.644], [0.007, 0.007, 0.240], [0.090, 0.090, 0.756], [0.134, 0.134, 0.460], [0.167, 0.167, 0.149], [0.185, 0.185, 0.693], [0.255, 0.255, 0.121], [0.279, 0.279, 0.595], [0.353, 0.353, 0.093], [0.406, 0.406, 0.794], [0.444, 0.444, 0.493], [0.451, 0.451, 0.029], [0.549, 0.549, 0.971], [0.556, 0.556, 0.507], [0.594, 0.594, 0.206], [0.647, 0.647, 0.907], [0.721, 0.721, 0.405], [0.745, 0.745, 0.879], [0.815, 0.815, 0.307], [0.833, 0.833, 0.851], [0.866, 0.866, 0.540], [0.910, 0.910, 0.244], [0.993, 0.993, 0.760]]}

{"formula": "Er2Co2Os", "functional": "PBE-GGA", "state": "relaxed", "ef_kj_per_mol_atoms": -24, "e_tot_ev_per_atom": -7.163, "lattice": [[4.429, -2.668, 0.000], [4.429, 2.668, 0.000], [-1.730, 0.000, 7.565]], "species": ["Er", "Er", "Er", "Er", "Co", "Co", "Co", "Co", "Os", "Os"], "frac_coords": [[0.029, 0.273, 0.153], [0.273, 0.029, 0.653], [0.727, 0.971, 0.347], [0.971, 0.727, 0.847], [0.256, 0.498, 0.498], [0.498, 0.256, 0.998], [0.502, 0.744, 0.002], [0.744, 0.502, 0.502], [0.373, 0.627, 0.250], [0.627, 0.373, 0.750]]}

{"formula": "LiAgBr2", "functional": "PBE-GGA", "state": "relaxed", "raw_formation_energy_ev_per_fu": -2.72, "e_above_lowest_polymorph_mev_per_atom": 263, "e_tot_ev_per_atom": -2.707, "lattice": [[3.552, 0.000, 0.000], [0.000, 3.552, 0.000], [0.000, 0.000, 7.143]], "species": ["Li", "Ag", "Br", "Br"], "frac_coords": [[0.000, 0.000, 0.000], [0.000, 0.000, 0.500], [0.500, 0.500, 0.243], [0.500, 0.500, 0.757]]}

{"formula": "KTaCd2", "functional": "PBE-GGA", "state": "relaxed", "e_above_lowest_polymorph_mev_per_atom": 515, "ef_kj_per_mol_atoms": 88, "e_tot_ev_per_atom": -2.786, "lattice": [[2.812, 0.000, 0.000], [0.000, 5.765, 0.000], [0.000, 0.000, 6.488]], "species": ["K", "Ta", "Cd", "Cd"], "frac_coords": [[0.000, 0.000, 0.000], [0.500, 0.000, 0.500], [0.000, 0.500, 0.500], [0.500, 0.500, 0.000]]}

{"formula": "FeCuGe2P", "functional": "PBE-GGA", "state": "relaxed", "ef_kj_per_mol_atoms": 74, "e_tot_ev_per_atom": -4.675, "lattice": [[4.820, 0.000, 0.000], [0.000, 4.820, 0.000], [0.000, 0.000, 4.182]], "species": ["Fe", "Cu", "Ge", "Ge", "P"], "frac_coords": [[0.000, 0.000, 0.000], [0.500, 0.500, 0.000], [0.000, 0.500, 0.500], [0.500, 0.000, 0.500], [0.000, 0.000, 0.500]]}

{"formula": "La6P2CI3", "functional": "PBE-GGA", "state": "relaxed", "raw_formation_energy_ev_per_fu": -14.57, "e_tot_ev_per_atom": -5.736, "lattice": [[3.641, -6.304, 0.000], [3.641, 6.304, 0.000], [-2.427, 0.000, 7.881]], "species": ["La", "La", "La", "La", "La", "La", "P", "P", "C", "I", "I", "I"], "frac_coords": [[0.061, 0.372, 0.184], [0.249, 0.249, 0.815], [0.372, 0.061, 0.184], [0.628, 0.939, 0.816], [0.751, 0.751, 0.185], [0.939, 0.628, 0.816], [0.334, 0.666, 0.000], [0.666, 0.334, 0.000], [0.000, 0.000, 0.000], [0.171, 0.829, 0.500], [0.500, 0.500, 0.500], [0.829, 0.171, 0.500]]}

{"formula": "YSbRh2", "functional": "PBE-GGA", "state": "relaxed", "raw_formation_energy_ev_per_fu": -2.85, "e_tot_ev_per_atom": -7.034, "lattice": [[0.000, 3.333, 3.333], [3.333, 0.000, 3.333], [3.333, 3.333, 0.000]], "species": ["Y", "Sb", "Rh", "Rh"], "frac_coords": [[0.000, 0.000, 0.000], [0.500, 0.500, 0.500], [0.250, 0.250, 0.250], [0.750, 0.750, 0.750]]}

{"formula": "Be2OsRu", "functional": "PBE-GGA", "state": "relaxed", "e_above_lowest_polymorph_mev_per_atom": 224, "ef_kj_per_mol_atoms": -1, "e_tot_ev_per_atom": -6.996, "lattice": [[1.345, 0.777, 7.457], [-1.345, 0.777, 7.457], [0.000, -1.553, 7.457]], "species": ["Be", "Be", "Os", "Ru"], "frac_coords": [[0.250, 0.250, 0.250], [0.750, 0.750, 0.750], [0.500, 0.500, 0.500], [0.000, 0.000, 0.000]]}

{"formula": "Fe2CoSi", "functional": "PBE-GGA", "state": "relaxed", "raw_formation_energy_ev_per_fu": -1.21, "e_tot_ev_per_atom": -7.666, "lattice": [[2.860, 0.000, 0.000], [0.000, 3.924, 0.000], [0.000, 0.000, 3.926]], "species": ["Fe", "Fe", "Co", "Si"], "frac_coords": [[0.000, 0.000, 0.000], [0.500, 0.500, 0.000], [0.000, 0.500, 0.500], [0.500, 0.000, 0.500]]}

{"formula": "CaZr2Be", "functional": "PBE-GGA", "state": "relaxed", "ef_kj_per_mol_atoms": 30, "e_tot_ev_per_atom": -5.398, "lattice": [[5.412, -1.585, 0.000], [5.412, 1.585, 0.000], [-3.073, 0.000, 5.294]], "species": ["Ca", "Zr", "Zr", "Be"], "frac_coords": [[0.000, 0.000, 0.000], [0.173, 0.173, 0.618], [0.393, 0.393, 0.420], [0.733, 0.733, 0.009]]}

{"formula": "UGaCo6", "functional": "PBE-GGA", "state": "relaxed", "ef_kj_per_mol_atoms": -14, "e_tot_ev_per_atom": -7.267, "lattice": [[5.156, 0.000, 0.000], [0.000, 5.156, 0.000], [0.000, 0.000, 3.705]], "species": ["U", "Ga", "Co", "Co", "Co", "Co", "Co", "Co"], "frac_coords": [[0.000, 0.000, 0.000], [0.500, 0.500, 0.000], [0.000, 0.500, 0.000], [0.256, 0.256, 0.500], [0.256, 0.744, 0.500], [0.500, 0.000, 0.000], [0.744, 0.256, 0.500], [0.744, 0.744, 0.500]]}

{"formula": "CrCd3P", "functional": "PBE-GGA", "state": "relaxed", "e_above_lowest_polymorph_mev_per_atom": 0, "ef_kj_per_mol_atoms": 71, "e_tot_ev_per_atom": -2.815, "lattice": [[5.109, 0.000, 0.000], [0.000, 5.109, 0.000], [0.000, 0.000, 5.109]], "species": ["Cr", "Cd", "Cd", "Cd", "P"], "frac_coords": [[0.000, 0.000, 0.000], [0.000, 0.500, 0.500], [0.500, 0.000, 0.500], [0.500, 0.500, 0.000], [0.500, 0.500, 0.500]]}

{"formula": "CrCoIr2", "functional": "PBE-GGA", "state": "relaxed", "ef_kj_per_mol_atoms": 8, "e_tot_ev_per_atom": -8.531, "lattice": [[1.336, 0.771, 8.517], [-1.336, 0.771, 8.517], [0.000, -1.543, 8.517]], "species": ["Cr", "Co", "Ir", "Ir"], "frac_coords": [[0.000, 0.000, 0.000], [0.255, 0.255, 0.255], [0.506, 0.506, 0.506], [0.747, 0.747, 0.747]]}

{"formula": "NiPtAu2", "functional": "PBE-GGA", "state": "relaxed", "e_above_lowest_polymorph_mev_per_atom": 122, "ef_kj_per_mol_atoms": 13, "e_tot_ev_per_atom": -4.454, "lattice": [[0.000, 3.171, 3.171], [3.171, 0.000, 3.171], [3.171, 3.171, 0.000]], "species": ["Ni", "Pt", "Au", "Au"], "frac_coords": [[0.000, 0.000, 0.000], [0.500, 0.500, 0.500], [0.250, 0.250, 0.250], [0.750, 0.750, 0.750]]}